Record 1
Compound: ErLuIr2
Source: Alexandria via LeMat-Bulk
Functional: GGA-PBE
Structure: relaxed

Its raw total energy is -121.92 eV per cell. Its excess energy over the best structure of this formula in the dataset is 0.17 kcal/mol of atoms. The magnetic moment is 0.00 μB per cell. Its calculated density is 15.7 g/cm3.

It has space group Fm-3m (No. 225), with a = 6.751 Å, b = 6.751 Å, c = 6.751 Å, α = 90.00°, β = 90.00° and γ = 90.00°. The inequivalent atoms are Er at (0.000, 0.000, 0.000), Lu at (0.000, 0.000, 0.500) and Ir at (0.250, 0.250, 0.250).

***

Record 2
Compound: Pd2Pt6W
Source: Alexandria via LeMat-Bulk
Functional: GGA-PBE
Structure: relaxed

Its raw total energy is -238.82 eV per cell. The magnetic moment is 0.00 μB per cell. Its calculated density is 17.9 g/cm3.

It has space group C2/c (No. 15), with a = 9.678 Å, b = 11.517 Å, c = 5.251 Å, α = 90.00°, β = 97.20° and γ = 90.00°. The inequivalent atoms are Pd at (0.132, 0.016, 0.387), Pt at (0.026, 0.205, 0.008), Pt at (0.139, 0.406, 0.805), Pt at (0.250, 0.185, 0.714) and W at (0.000, 0.401, 0.250).

***

Record 3
Compound: Dy6HgAu2
Source: Alexandria via LeMat-Bulk
Functional: GGA-PBE
Structure: relaxed

Its raw total energy is -74.94 eV per cell. The magnetic moment is 0.00 μB per cell. Its calculated density is 9.8 g/cm3.

It has space group Immm (No. 71), with a = 5.012 Å, b = 7.098 Å, c = 15.007 Å, α = 90.00°, β = 90.00° and γ = 90.00°. The inequivalent atoms are Dy at (0.000, 0.242, 0.000), Dy at (0.000, 0.254, 0.330), Hg at (0.000, 0.000, 0.500) and Au at (0.000, 0.000, 0.167).

***

Record 4
Compound: YBeNi
Source: Alexandria via LeMat-Bulk
Functional: GGA-PBE
Structure: relaxed

Its raw total energy is -61.68 eV per cell. Its excess energy over the best structure of this formula in the dataset is 10.59 kcal/mol of atoms. The magnetic moment is 0.00 μB per cell. Its calculated density is 4.9 g/cm3.

It has space group F-43m (No. 216), with a = 5.964 Å, b = 5.964 Å, c = 5.964 Å, α = 90.00°, β = 90.00° and γ = 90.00°. The inequivalent atoms are Y at (0.000, 0.000, 0.000), Be at (0.250, 0.250, 0.250) and Ni at (0.000, 0.000, 0.500).

***

Which value of raw total energy does entry 3 give?
-74.94 eV per cell

***

Repeat the fourth record exactly.
Compound: YBeNi
Source: Alexandria via LeMat-Bulk
Functional: GGA-PBE
Structure: relaxed

Its raw total energy is -61.68 eV per cell. Its excess energy over the best structure of this formula in the dataset is 10.59 kcal/mol of atoms. The magnetic moment is 0.00 μB per cell. Its calculated density is 4.9 g/cm3.

It has space group F-43m (No. 216), with a = 5.964 Å, b = 5.964 Å, c = 5.964 Å, α = 90.00°, β = 90.00° and γ = 90.00°. The inequivalent atoms are Y at (0.000, 0.000, 0.000), Be at (0.250, 0.250, 0.250) and Ni at (0.000, 0.000, 0.500).